VASP calculation (PBE) on an optimized crystal structure of CsPmSeO.

Cell: 6.8326 3.9451 8.3221 Å, 90.00 105.79 90.00°
Closest atoms and distances in Å follow each position.
Space group Cm (No. 8)
Symmetry-distinct sites (fractional):
Cs1 0.0000 0.0000 0.0000 x2  3 Se 3.35, 3 O 3.59-3.60, 1 Pm 3.67
Pm1 0.1537 0.0000 0.4583 x2  3 O 2.45
Se1 0.0649 0.5000 0.6930 x2  3 Pm 2.95
O1 0.2834 0.5000 0.3471 x2  3 Pm 2.45

Its uncorrected formation energy is -2.004 eV per atom.

---

VASP calculation (PBE) on an optimized crystal structure of CsPmSe2O6.

Cell: 9.0603 10.7800 8.0530 Å, 90.00 110.04 90.00°
Closest atoms and distances in Å follow each position.
Space group C2/c (No. 15)
Symmetry-distinct sites (fractional):
Cs1 0.0000 0.1630 0.2500 x4  6 O 2.98-3.26
Pm1 0.0000 0.4427 0.7500 x4  8 O 2.43-2.62
Se1 0.2105 0.1200 0.8030 x8  3 O 1.72-1.76
O1 0.0898 0.3932 0.0643 x8  1 Se 1.76
O2 0.1798 0.2745 0.7519 x8  1 Se 1.72
O3 0.2372 0.0516 0.6220 x8  1 Se 1.72

Its uncorrected formation energy is -1.751 eV per atom.

---

VASP calculation (PBE) on an optimized crystal structure of CsPmSe2O8.

Cell: 5.6624 5.6624 9.1786 Å, 90.00 90.00 120.00°
Closest atoms and distances in Å follow each position.
Space group P-3 (No. 147)
Symmetry-distinct sites (fractional):
Cs1 0.0000 0.0000 0.0000 x1  12 O 3.39-3.64
Pm1 0.0000 0.0000 0.5000 x1  6 O 2.33
Se1 0.3333 0.6667 0.7215 x2  4 O 1.65-1.68
O1 0.0968 0.3609 0.6572 x6  1 Se 1.68
O2 0.3333 0.6667 0.9007 x2  1 Se 1.65

Its uncorrected formation energy is -1.547 eV per atom.

---

VASP calculation (PBE) on an optimized crystal structure of Cs2PmSiO4.

Cell: 5.8126 13.0774 25.4643 Å, 90.00 90.00 90.00°
Closest atoms and distances in Å follow each position.
Space group Fddd (No. 70, origin choice 2)
Symmetry-distinct sites (fractional):
Cs1 0.1250 0.1250 0.3059 x16  4 O 3.51-3.52
Pm1 0.1250 0.1250 0.1250 x8  4 O 2.28
Si1 0.1250 0.1250 0.6250 x8  4 O 1.67
O1 0.0544 0.3009 0.8406 x32  1 Si 1.67

Its uncorrected formation energy is -2.166 eV per atom.

---

VASP calculation (PBE) on an optimized crystal structure of Cs2PmSi2O6.

Cell: 6.1346 6.1346 18.2820 Å, 90.00 90.00 120.00°
Closest atoms and distances in Å follow each position.
Space group R-3m (No. 166, hexagonal axes)
Symmetry-distinct sites (fractional):
Cs1 0.0000 0.0000 0.2203 x6  9 O 3.16-3.32
Pm1 0.0000 0.0000 0.0000 x3  6 O 2.37
Si1 0.0000 0.0000 0.4255 x6  3 O 1.62
O1 0.0342 0.5171 0.2596 x18  1 Si 1.62

Its uncorrected formation energy is -2.495 eV per atom.

---

VASP calculation (PBE) on an optimized crystal structure of CsPmSiO4.

Cell: 5.7823 5.8271 8.1141 Å, 90.00 107.69 90.00°
Closest atoms and distances in Å follow each position.
Space group P2_1/m (No. 11)
Symmetry-distinct sites (fractional):
Cs1 0.2000 0.2500 0.4281 x2  6 O 3.01-3.31
Pm1 0.2776 0.2500 0.9574 x2  6 O 2.36-2.50
Si1 0.2630 0.7500 0.1512 x2  4 O 1.64-1.66
O1 0.0764 0.7500 0.9512 x2  1 Si 1.65
O2 0.0913 0.7500 0.2788 x2  1 Si 1.64
O3 0.4503 0.5280 0.1708 x4  1 Si 1.66

Its uncorrected formation energy is -2.855 eV per atom.

---

VASP calculation (PBE) on an optimized crystal structure of CsPmSi2O6.

Cell: 10.6598 10.3418 5.5747 Å, 90.00 100.37 90.00°
Closest atoms and distances in Å follow each position.
Space group C2/c (No. 15)
Symmetry-distinct sites (fractional):
Cs1 0.0000 0.1774 0.2500 x4  8 O 2.96-3.06
Pm1 0.0000 0.3778 0.7500 x4  6 O 2.33-2.46
Si1 0.2255 0.0785 0.8060 x8  4 O 1.62-1.69
O1 0.1184 0.4351 0.1360 x8  1 Si 1.64
O2 0.1545 0.2171 0.7639 x8  1 Si 1.62
O3 0.1770 0.0057 0.0451 x8  2 Si 1.69

Its uncorrected formation energy is -2.803 eV per atom.

---

VASP calculation (PBE) on an optimized crystal structure of CsPmSnO3.

Cell: 7.3888 3.5819 11.0916 Å, 90.00 96.04 90.00°
Closest atoms and distances in Å follow each position.
Space group P2_1/m (No. 11)
Symmetry-distinct sites (fractional):
Cs1 0.1630 0.2500 0.2433 x2  5 O 3.06-3.19
Pm1 0.3855 0.7500 0.8765 x2  6 O 2.31-2.45
Sn1 0.2743 0.2500 0.6115 x2  3 O 2.13-2.18
O1 0.1939 0.2500 0.7905 x2  1 Sn 2.13
O2 0.4081 0.7500 0.0861 x2  3 Pm 2.31-2.36
O3 0.4339 0.7500 0.6609 x2  2 Sn 2.18

Its uncorrected formation energy is -2.149 eV per atom.

---

VASP calculation (PBE) on an optimized crystal structure of Cs2PmSnO4.

Cell: 8.8888 8.5786 6.5289 Å, 90.00 130.64 90.00°
Closest atoms and distances in Å follow each position.
Space group C2 (No. 5)
Symmetry-distinct sites (fractional):
Cs1 0.0000 0.0000 0.0000 x2  6 O 3.21-3.29
Cs2 0.0000 0.2526 0.5000 x2  6 O 3.07-3.43
Pm1 0.0000 0.4824 0.0000 x2  4 O 2.22-2.25
Sn1 0.0000 0.7512 0.5000 x2  4 O 2.05-2.17
O1 0.1145 0.6043 0.3829 x4  1 Sn 2.05, 1 Pm 2.25
O2 0.2320 0.3168 0.1005 x4  1 Sn 2.17, 1 Pm 2.22

Its uncorrected formation energy is -1.906 eV per atom.

---

VASP calculation (PBE) on an optimized crystal structure of Cs3PmTa2O8.

Cell: 6.4542 6.4542 8.5365 Å, 90.00 90.00 120.00°
Closest atoms and distances in Å follow each position.
Space group P-3m1 (No. 164)
Symmetry-distinct sites (fractional):
Cs1 0.0000 0.0000 0.0000 x1  12 O 3.48-3.76
Cs2 0.3333 0.6667 0.7208 x2  1 O 2.85
Pm1 0.0000 0.0000 0.5000 x1  6 O 2.37
Ta1 0.3333 0.6667 0.2684 x2  4 O 1.82-1.89
O1 0.1730 0.3461 0.3392 x6  1 Ta 1.89
O2 0.3333 0.6667 0.0548 x2  1 Ta 1.82

Its uncorrected formation energy is -2.663 eV per atom.

---

VASP calculation (PBE) on an optimized crystal structure of Cs2TbPmO4.

Cell: 6.2820 3.6271 7.2299 Å, 90.00 106.80 90.00°
Closest atoms and distances in Å follow each position.
Space group P2/m (No. 10)
Symmetry-distinct sites (fractional):
Cs1 0.0000 0.0000 0.0000 x1  6 O 3.09-3.10
Cs2 0.5000 0.5000 0.0000 x1  6 O 3.13-3.14
Tb1 0.0000 0.5000 0.5000 x1  6 O 2.36-2.37
Pm1 0.5000 0.0000 0.5000 x1  6 O 2.41-2.42
O1 0.2164 0.0000 0.6664 x2  2 Tb 2.37, 1 Pm 2.42
O2 0.2717 0.5000 0.3331 x2  1 Tb 2.36, 2 Pm 2.41

Its uncorrected formation energy is -2.571 eV per atom.

---

VASP calculation (PBE) on an optimized crystal structure of Cs2PmTcO6.

Cell: 6.7138 6.7138 5.9307 Å, 90.00 90.00 120.00°
Closest atoms and distances in Å follow each position.
Space group P-3m1 (No. 164)
Symmetry-distinct sites (fractional):
Cs1 0.3333 0.6667 0.1273 x2  3 O 3.04
Pm1 0.0000 0.0000 0.5000 x1  6 O 2.35
Tc1 0.0000 0.0000 0.0000 x1  6 O 1.92
O1 0.1308 0.2617 0.8030 x6  1 Tc 1.92

Its uncorrected formation energy is -1.856 eV per atom.

---

Question: Which formula does entry 10 have?
Answer: Cs3PmTa2O8

---

Copy entry 7 word for word.
VASP calculation (PBE) on an optimized crystal structure of CsPmSi2O6.

Cell: 10.6598 10.3418 5.5747 Å, 90.00 100.37 90.00°
Closest atoms and distances in Å follow each position.
Space group C2/c (No. 15)
Symmetry-distinct sites (fractional):
Cs1 0.0000 0.1774 0.2500 x4  8 O 2.96-3.06
Pm1 0.0000 0.3778 0.7500 x4  6 O 2.33-2.46
Si1 0.2255 0.0785 0.8060 x8  4 O 1.62-1.69
O1 0.1184 0.4351 0.1360 x8  1 Si 1.64
O2 0.1545 0.2171 0.7639 x8  1 Si 1.62
O3 0.1770 0.0057 0.0451 x8  2 Si 1.69

Its uncorrected formation energy is -2.803 eV per atom.